Entry 1:
A relaxed structure of Si2PRh, computed with PBE.

Values from the calculation:
DOS(E_F) = 0.951 states/eV/cell
E_form (uncorrected) = 0.06 eV/atom

Cell lengths 4.5432, 4.5432, 4.1752 Å; angles 94.07, 94.07, 41.80 degrees
Fractional positions:
Si 0.2359 0.2359 0.2400
Si 0.7641 0.7641 0.7600
P 0.0000 0.0000 0.5000
Rh 0.5000 0.5000 0.0000

Entry 2:
A relaxed structure of Si2PRh, computed with PBE.

Values from the calculation:
DOS(E_F) = 1.938 states/eV/cell
E_form (uncorrected) = 0.09 eV/atom

Cell lengths 4.3922, 4.3922, 2.9648 Å; angles 90.00, 90.00, 105.69 degrees
Fractional positions:
Si 0.0000 0.5000 0.0000
Si 0.5000 0.0000 0.0000
P 0.0000 0.0000 0.5000
Rh 0.5000 0.5000 0.5000

Entry 3:
A relaxed structure of Si2PRh, computed with PBE.

Values from the calculation:
DOS(E_F) = 1.779 states/eV/cell
E_form (uncorrected) = 0.00 eV/atom

Cell lengths 2.8475, 2.8475, 6.8140 Å; angles 90.00, 90.00, 90.00 degrees
Fractional positions:
Si 0.0000 0.0000 0.2385
Si 0.0000 0.0000 0.7615
P 0.5000 0.5000 0.5000
Rh 0.5000 0.5000 0.0000

Entry 4:
A relaxed structure of Si3P3Rh, computed with PBE.

Values from the calculation:
E_form (uncorrected) = -0.34 eV/atom

Cell lengths 4.9162, 4.9345, 5.5271 Å; angles 108.78, 108.14, 95.04 degrees
Fractional positions:
Si 0.0000 0.0000 0.0000
Si 0.1262 0.5573 0.7961
Si 0.8189 0.8081 0.2710
P 0.2543 0.6911 0.4817
P 0.5653 0.1066 0.7849
P 0.7075 0.2380 0.4885
Rh 0.4161 0.4006 0.1372

Entry 5:
A relaxed structure of Si2PRh, computed with PBE.

Values from the calculation:
DOS(E_F) = 1.945 states/eV/cell
E_form (uncorrected) = -0.16 eV/atom

Cell lengths 6.2421, 6.2421, 6.2421 Å; angles 127.36, 127.36, 77.66 degrees
Fractional positions:
Si 0.1242 0.6250 0.9992
Si 0.3750 0.3742 0.4992
Si 0.6258 0.1250 0.0008
Si 0.8750 0.8758 0.5008
P 0.0000 0.0000 0.0000
P 0.7500 0.2500 0.5000
Rh 0.2500 0.7500 0.5000
Rh 0.5000 0.5000 0.0000

Entry 6:
A relaxed structure of Si2PRh, computed with PBE.

Values from the calculation:
DOS(E_F) = 2.450 states/eV/cell
E_form (uncorrected) = 0.17 eV/atom

Cell lengths 4.5943, 4.5943, 2.6754 Å; angles 90.00, 90.00, 90.00 degrees
Fractional positions:
Si 0.0000 0.5000 0.0000
Si 0.5000 0.0000 0.0000
P 0.0000 0.0000 0.5000
Rh 0.5000 0.5000 0.5000